[1]
The following is a DFT calculation (meta-GGA SCAN) of a PBEsol-optimized structure of SrCoPb2.

a b c (Å): 3.598 3.598 7.781
angles (deg): 90.00 90.00 90.00
Site moments in Bohr magnetons follow the coordinates.
Positions (direct):
Co: 0.500 0.500 0.821  1.78
Pb: 0.000 0.000 0.938  -0.04
Pb: 0.500 0.500 0.213  -0.01
Sr: 0.000 0.000 0.528  -0.02

Values from the calculation:
Space group: No. 99
Formation enthalpy at 0 K: 67 meV per atom
M_tot: 1.66 μB/f.u.
Calculated volume: 100.7 Å³ per cell
Uncorrected energy: -190.9 eV for the cell shown

[2]
The following is a DFT calculation (meta-GGA SCAN) of a PBEsol-optimized structure of Ce2Fe17.

a b c (Å): 6.214 6.214 6.214
angles (deg): 82.02 82.02 82.02
Site moments in Bohr magnetons follow the coordinates.
Positions (direct):
Fe: 0.000 0.000 0.500  2.35
Fe: 0.095 0.095 0.095  2.74
Fe: 0.500 0.000 0.000  2.35
Fe: 0.340 0.340 0.841  2.52
Fe: 0.905 0.905 0.905  2.74
Fe: 0.000 0.707 0.293  2.59
Fe: 0.660 0.159 0.660  2.52
Fe: 0.340 0.841 0.340  2.52
Fe: 0.159 0.660 0.660  2.52
Fe: 0.293 0.707 0.000  2.59
Fe: 0.000 0.293 0.707  2.59
Fe: 0.000 0.500 0.000  2.35
Fe: 0.841 0.340 0.340  2.52
Fe: 0.707 0.293 0.000  2.59
Fe: 0.660 0.660 0.159  2.52
Fe: 0.707 0.000 0.293  2.59
Fe: 0.293 0.000 0.707  2.59
Ce: 0.341 0.341 0.341  -1.00
Ce: 0.659 0.659 0.659  -1.00

Values from the calculation:
Space group: No. 166
Formation enthalpy at 0 K: 75 meV per atom
M_tot: 39.59 μB/f.u.
Calculated volume: 233.6 Å³ per cell
Uncorrected energy: -395.9 eV for the cell shown

[3]
The following is a DFT calculation (meta-GGA SCAN) of a PBEsol-optimized structure of Zr6Zn23Si.

a b c (Å): 8.620 8.620 8.620
angles (deg): 60.00 60.00 60.00
Positions (direct):
Zn: 0.006 0.665 0.665
Zn: 0.000 0.500 0.500
Zn: 0.000 0.000 0.000
Zn: 0.876 0.876 0.876
Zn: 0.628 0.124 0.124
Zn: 0.000 0.500 0.000
Zn: 0.124 0.124 0.628
Zn: 0.665 0.665 0.006
Zn: 0.124 0.124 0.124
Zn: 0.335 0.335 0.335
Zn: 0.500 0.000 0.000
Zn: 0.665 0.665 0.665
Zn: 0.876 0.876 0.372
Zn: 0.500 0.500 0.000
Zn: 0.665 0.006 0.665
Zn: 0.500 0.000 0.500
Zn: 0.372 0.876 0.876
Zn: 0.000 0.000 0.500
Zn: 0.994 0.335 0.335
Zn: 0.335 0.335 0.994
Zn: 0.335 0.994 0.335
Zn: 0.876 0.372 0.876
Zn: 0.124 0.628 0.124
Zr: 0.712 0.288 0.712
Zr: 0.712 0.712 0.288
Zr: 0.288 0.288 0.712
Zr: 0.288 0.712 0.712
Zr: 0.712 0.288 0.288
Zr: 0.288 0.712 0.288
Si: 0.500 0.500 0.500

Values from the calculation:
Space group: No. 225
M_tot: 0.00 μB/f.u.
ΔE_f (raw): -0.369 eV/atom
Calculated volume: 452.9 Å³ per cell
Uncorrected energy: -516.1 eV for the cell shown

[4]
The following is a DFT calculation (meta-GGA SCAN) of a PBEsol-optimized structure of CdPtCl.

a b c (Å): 3.074 3.074 6.097
angles (deg): 104.60 104.60 90.00
Positions (direct):
Cl: 0.665 0.665 0.330
Cd: 0.993 0.993 0.985
Pt: 0.342 0.342 0.684

Values from the calculation:
Space group: No. 107
M_tot: 0.00 μB/f.u.
Distance to the lowest polymorph of the same formula: 0.000 eV per atom
ΔE_f (raw): -0.079 eV/atom
Calculated volume: 53.8 Å³ per cell
Uncorrected energy: -108.8 eV for the cell shown

[5]
The following is a DFT calculation (meta-GGA SCAN) of a PBEsol-optimized structure of LaTaMo2.

a b c (Å): 4.708 4.708 4.708
angles (deg): 60.00 60.00 60.00
Positions (direct):
Mo: 0.250 0.250 0.250
Mo: 0.750 0.750 0.750
La: 0.500 0.500 0.500
Ta: 0.000 0.000 0.000

Values from the calculation:
Space group: No. 225
Formation enthalpy at 0 K: 466 meV per atom
M_tot: 0.00 μB/f.u.
Distance to the lowest polymorph of the same formula: 0.090 eV per atom
Calculated volume: 73.8 Å³ per cell
Uncorrected energy: -177.6 eV for the cell shown

[6]
The following is a DFT calculation (meta-GGA SCAN) of a PBEsol-optimized structure of Li2Ca2Be.

a b c (Å): 4.906 7.030 7.030
angles (deg): 90.00 90.00 90.00
Positions (direct):
Li: 0.000 0.636 0.136
Li: 0.000 0.364 0.864
Li: 0.000 0.136 0.364
Li: 0.000 0.864 0.636
Be: 0.000 0.000 0.000
Be: 0.000 0.500 0.500
Ca: 0.500 0.811 0.311
Ca: 0.500 0.311 0.189
Ca: 0.500 0.189 0.689
Ca: 0.500 0.689 0.811

Values from the calculation:
Space group: No. 127
Formation enthalpy at 0 K: 310 meV per atom
M_tot: 0.02 μB/f.u.
Calculated volume: 242.5 Å³ per cell
Uncorrected energy: -53.8 eV for the cell shown